! CeYTcAu (PBE, optimized geometry); values from VASP
&SYSTEM
  ibrav = 0, nat = 4, ntyp = 4
/
ATOMIC_SPECIES
Tc 98.00 Tc.upf
Au 196.97 Au.upf
Y 88.91 Y.upf
Ce 140.12 Ce.upf
CELL_PARAMETERS angstrom
-0.597 -4.069 2.865
3.929 -2.934 1.037
1.898 -0.100 4.638
ATOMIC_POSITIONS angstrom
Tc 0.000 0.000 0.000
Au 2.615 -3.551 4.270
Y 1.308 -1.776 2.135
Ce 3.923 -5.327 6.405
! Space group: No. 216
! Energy (eV per atom): -6.81
! D(E_F) (states/eV/cell): 4.54


! Li4Zn4Rh (PBE, optimized geometry); values from VASP
&SYSTEM
  ibrav = 0, nat = 9, ntyp = 3
/
ATOMIC_SPECIES
Rh 102.91 Rh.upf
Zn 65.41 Zn.upf
Li 6.94 Li.upf
CELL_PARAMETERS angstrom
3.540 0.000 1.069
1.770 5.976 0.534
0.043 0.000 6.255
ATOMIC_POSITIONS angstrom
Rh 2.655 2.988 0.802
Zn 0.885 1.046 0.267
Zn 3.864 2.988 3.195
Zn 4.468 4.930 7.591
Zn 1.489 2.988 4.663
Li 2.103 1.078 2.629
Li 3.250 4.898 5.229
Li 3.250 1.079 5.228
Li 2.103 4.897 2.630
! Space group: No. 139
! Energy (eV per atom): -2.43
! D(E_F) (states/eV/cell): 3.99


! LiGaBiF2 (PBE, optimized geometry); values from VASP
&SYSTEM
  ibrav = 0, nat = 5, ntyp = 4
/
ATOMIC_SPECIES
Bi 208.98 Bi.upf
Ga 69.72 Ga.upf
Li 6.94 Li.upf
F 19.00 F.upf
CELL_PARAMETERS angstrom
3.962 0.000 0.000
0.000 7.047 0.000
0.000 0.000 3.962
ATOMIC_POSITIONS angstrom
Bi 1.981 3.524 1.981
Ga 0.000 0.000 0.000
Li 0.000 3.524 0.000
F 0.000 0.000 1.981
F 1.981 0.000 0.000
! Space group: No. 123
! Energy (eV per atom): -3.52
! Formation energy from raw total energies (eV/atom): -1.01
! D(E_F) (states/eV/cell): 3.09


It is found that the spin magnetization values, taken in the order of the records, are 0.07; 0.00; 0.00 μB/atom.